A relaxed SrHg2F7 crystal, computed with PBE.

Cell and atoms, written as POSCAR:
```
SrHg2F7
1.0
3.700 -5.409 0.000
3.700 5.409 0.000
0.000 0.000 4.246
Sr Hg F
1 2 7
Cartesian
0.000 0.000 0.000
3.700 2.167 2.123
3.700 -2.167 2.123
1.293 1.323 2.123
3.700 2.598 0.000
1.293 -1.323 2.123
3.700 0.000 2.123
6.106 1.323 2.123
3.700 -2.598 0.000
6.106 -1.323 2.123
```

Summary:
The value obtained for the formation energy from raw total energies is -1.946 eV/atom. The value obtained for the density of states at the Fermi level is 7.36 states/eV/cell.

=====

A relaxed Sr2HgF2 crystal, computed with PBE.

Cell and atoms, written as POSCAR:
```
Sr2HgF2
1.0
-2.075 2.075 6.975
2.075 -2.075 6.975
2.075 2.075 -6.975
Sr Hg F
2 1 2
Cartesian
0.000 0.000 2.067
0.000 0.000 11.884
0.000 0.000 6.975
2.075 0.000 3.488
0.000 2.075 3.488
```

Summary:
The value obtained for the formation energy from raw total energies is -2.495 eV/atom. The value obtained for the density of states at the Fermi level is 1.99 states/eV/cell.

=====

A relaxed SrHg6F12 crystal, computed with PBE.

Cell and atoms, written as POSCAR:
```
SrHg6F12
1.0
5.446 3.144 3.263
-5.446 3.144 3.263
0.000 -6.289 3.263
Sr Hg F
1 6 12
Cartesian
0.000 0.000 0.000
-0.972 -2.382 3.482
-1.577 2.033 3.482
-2.549 -0.350 6.308
2.549 0.350 3.482
1.577 -2.033 6.308
0.972 2.382 6.308
-4.603 -1.171 5.381
-1.287 -4.572 4.409
-2.181 -0.249 3.817
-3.316 3.401 4.409
1.307 -1.764 3.817
-0.875 -2.014 5.973
0.875 2.014 3.817
-1.307 1.764 5.973
3.316 -3.401 5.381
2.181 0.249 5.973
1.287 4.572 5.381
4.603 1.171 4.409
```

Summary:
The value obtained for the formation energy from raw total energies is -1.704 eV/atom. The value obtained for the density of states at the Fermi level is 2.06 states/eV/cell.

=====

A relaxed SrHg2F8 crystal, computed with PBE.

Cell and atoms, written as POSCAR:
```
SrHg2F8
1.0
-2.885 2.885 5.849
2.885 -2.885 5.849
2.885 2.885 -5.849
Sr Hg F
1 2 8
Cartesian
0.000 0.000 0.000
2.885 0.000 2.924
0.000 2.885 2.924
4.045 1.052 -1.529
1.052 1.724 -1.529
1.724 1.052 1.529
1.833 -1.161 7.377
1.833 1.161 4.320
-1.161 1.833 4.320
1.052 4.045 1.529
1.161 1.833 7.377
```

Summary:
The value obtained for the formation energy from raw total energies is -1.879 eV/atom.

=====

A relaxed SrHg3F crystal, computed with PBE.

Cell and atoms, written as POSCAR:
```
SrHg3F
1.0
5.253 0.000 0.000
0.000 5.253 0.000
0.000 0.000 5.253
Sr Hg F
1 3 1
Cartesian
0.000 0.000 0.000
0.000 2.627 2.627
2.627 0.000 2.627
2.627 2.627 0.000
2.627 2.627 2.627
```

Summary:
The value obtained for the formation energy from raw total energies is -0.632 eV/atom. The polymorph energy (0 for the lowest one) comes out at 0 meV per atom. The value obtained for the density of states at the Fermi level is 1.51 states/eV/cell.

=====

A relaxed Sr4HgF10 crystal, computed with PBE.

Cell and atoms, written as POSCAR:
```
Sr4HgF10
1.0
-4.601 4.601 2.909
4.601 -4.601 2.909
4.601 4.601 -2.909
Sr Hg F
4 1 10
Cartesian
2.750 0.922 0.000
3.679 -1.851 2.909
0.922 6.452 0.000
1.851 3.679 2.909
0.000 0.000 2.909
3.688 2.785 -1.433
1.816 -0.913 1.475
4.601 0.000 1.454
2.785 5.513 -1.433
0.913 1.816 1.475
3.688 2.785 1.433
1.816 -0.913 4.342
0.000 4.601 1.454
2.785 5.513 1.433
0.913 1.816 4.342
```

Summary:
The value obtained for the formation energy from raw total energies is -3.444 eV/atom. The value obtained for the density of states at the Fermi level is 0.00 states/eV/cell.

=====

A relaxed Sr4Hg2F crystal, computed with PBE.

Cell and atoms, written as POSCAR:
```
Sr4Hg2F
1.0
-2.551 2.551 9.118
2.551 -2.551 9.118
2.551 2.551 -9.118
Sr Hg F
4 2 1
Cartesian
2.551 0.000 0.000
0.000 0.000 3.426
0.000 2.551 0.000
0.000 0.000 14.810
0.000 0.000 6.770
0.000 0.000 11.466
0.000 0.000 0.000
```

Summary:
The value obtained for the formation energy from raw total energies is -1.053 eV/atom. The value obtained for the density of states at the Fermi level is 6.76 states/eV/cell.

=====

A relaxed SrHg4F12 crystal, computed with PBE.

Cell and atoms, written as POSCAR:
```
SrHg4F12
1.0
-4.356 4.356 4.356
4.356 -4.356 4.356
4.356 4.356 -4.356
Sr Hg F
1 4 12
Cartesian
0.000 0.000 0.000
2.178 2.178 -2.178
2.178 -2.178 2.178
-2.178 2.178 2.178
2.178 2.178 2.178
4.356 -2.138 2.726
2.218 1.630 0.000
6.494 1.630 0.000
2.726 4.356 -2.138
1.630 0.000 2.218
0.000 2.218 1.630
4.356 2.138 2.726
2.726 4.356 2.138
1.630 0.000 6.494
-2.138 2.726 4.356
2.138 2.726 4.356
0.000 6.494 1.630
```

Summary:
The value obtained for the formation energy from raw total energies is -1.707 eV/atom. The value obtained for the density of states at the Fermi level is 7.01 states/eV/cell.

=====

A relaxed Sr12Hg3F5 crystal, computed with PBE.

Cell and atoms, written as POSCAR:
```
Sr12Hg3F5
1.0
-8.710 8.710 8.710
8.710 -8.710 8.710
8.710 8.710 -8.710
Sr Hg F
48 12 20
Cartesian
2.675 -0.608 0.970
10.389 5.325 -4.963
11.385 0.608 0.970
10.389 -3.385 4.963
8.101 -0.970 2.675
13.673 -1.680 3.385
0.970 2.675 -0.608
12.094 3.746 -1.680
5.325 4.963 -1.680
7.740 2.675 0.608
-0.608 0.970 2.675
4.963 -1.680 5.325
8.101 7.740 -2.675
4.963 1.680 3.385
5.325 -4.963 10.389
7.740 -2.675 8.101
3.385 4.963 1.680
9.680 6.034 0.608
4.963 10.389 -3.385
8.101 0.970 6.034
2.675 8.101 -0.970
10.389 3.385 3.746
1.680 3.385 4.963
2.675 0.608 7.740
6.034 8.101 0.970
7.030 5.325 3.746
-1.680 5.325 4.963
6.034 0.608 9.680
0.608 7.740 2.675
3.746 -1.680 12.094
-0.970 2.675 8.101
5.325 3.746 7.030
0.970 11.385 0.608
3.385 13.673 -1.680
3.746 7.030 5.325
0.608 0.970 11.385
3.746 10.389 3.385
9.318 7.740 6.034
0.970 6.034 8.101
3.385 3.746 10.389
-3.385 4.963 10.389
7.740 6.034 9.318
-4.963 10.389 5.325
0.608 9.680 6.034
-1.680 12.094 3.746
-2.675 8.101 7.740
-1.680 3.385 13.673
6.034 9.318 7.740
4.355 2.177 0.000
8.710 4.355 -2.177
2.177 0.000 4.355
10.887 0.000 4.355
0.000 4.355 2.177
4.355 -2.177 8.710
4.355 10.887 0.000
8.710 4.355 6.532
-2.177 8.710 4.355
6.532 8.710 4.355
0.000 4.355 10.887
4.355 6.532 8.710
0.000 0.000 0.000
4.355 4.355 -4.355
4.355 -4.355 4.355
8.710 0.000 0.000
13.064 2.177 0.000
8.710 -4.355 6.532
6.532 8.710 -4.355
6.532 0.000 4.355
4.355 6.532 0.000
8.710 4.355 2.177
-4.355 4.355 4.355
0.000 8.710 0.000
0.000 0.000 8.710
4.355 4.355 4.355
0.000 4.355 6.532
4.355 2.177 8.710
2.177 8.710 4.355
2.177 0.000 13.064
0.000 13.064 2.177
-4.355 6.532 8.710
```

Summary:
The value obtained for the formation energy from raw total energies is -1.523 eV/atom. The value obtained for the density of states at the Fermi level is 56.34 states/eV/cell.

=====

A relaxed Sr2HgF8 crystal, computed with PBE.

Cell and atoms, written as POSCAR:
```
Sr2HgF8
1.0
-2.237 2.676 6.465
2.237 -2.676 6.465
2.237 2.676 -6.465
Sr Hg F
2 1 8
Cartesian
0.000 0.000 2.168
0.000 0.000 10.762
0.000 0.000 6.465
2.237 1.346 -1.601
0.000 1.297 0.000
2.237 0.000 3.600
2.237 1.346 1.601
0.000 1.330 4.864
0.000 2.676 2.865
0.000 4.055 0.000
0.000 1.330 8.066
```

Summary:
The value obtained for the formation energy from raw total energies is -2.516 eV/atom. The value obtained for the density of states at the Fermi level is 4.53 states/eV/cell.

=====

A relaxed Sr2HgF6 crystal, computed with PBE.

Cell and atoms, written as POSCAR:
```
Sr2HgF6
1.0
-2.047 2.894 6.144
2.047 -2.894 6.144
2.047 2.894 -6.144
Sr Hg F
2 1 6
Cartesian
0.000 0.000 2.040
0.000 0.000 10.247
0.000 0.000 6.144
2.047 1.464 -2.016
0.000 1.491 0.000
2.047 1.464 2.016
0.000 1.430 4.127
0.000 4.297 0.000
0.000 1.430 8.160
```

Summary:
The value obtained for the formation energy from raw total energies is -3.106 eV/atom. The polymorph energy (0 for the lowest one) comes out at 0 meV per atom. The value obtained for the density of states at the Fermi level is 0.00 states/eV/cell.

=====

A relaxed Sr2Hg2F7 crystal, computed with PBE.

Cell and atoms, written as POSCAR:
```
Sr2Hg2F7
1.0
4.156 -4.309 0.000
4.156 4.309 0.000
0.000 0.000 5.826
Sr Hg F
2 2 7
Cartesian
4.156 2.313 0.000
4.156 -2.313 0.000
1.907 0.000 2.913
6.404 0.000 2.913
0.000 0.000 1.392
0.000 0.000 4.435
2.078 2.154 1.378
2.078 2.154 4.449
2.078 -2.154 1.378
2.078 -2.154 4.449
4.156 0.000 2.913
```

Summary:
The value obtained for the formation energy from raw total energies is -2.553 eV/atom. The value obtained for the density of states at the Fermi level is 1.12 states/eV/cell.

=====

A relaxed Sr3HgF crystal, computed with PBE.

Cell and atoms, written as POSCAR:
```
Sr3HgF
1.0
5.357 0.000 0.000
0.000 5.357 0.000
0.000 0.000 5.357
Sr Hg F
3 1 1
Cartesian
0.000 0.000 2.678
0.000 2.678 0.000
2.678 0.000 0.000
2.678 2.678 2.678
0.000 0.000 0.000
```

Summary:
The value obtained for the formation energy from raw total energies is -1.172 eV/atom. The polymorph energy (0 for the lowest one) comes out at 0 meV per atom. The value obtained for the density of states at the Fermi level is 2.47 states/eV/cell.

=====

A relaxed SrHgF crystal, computed with PBE.

Cell and atoms, written as POSCAR:
```
SrHgF
1.0
11.393 0.000 0.000
0.000 2.066 3.582
0.000 -2.066 3.582
Sr Hg F
2 2 2
Cartesian
2.643 0.000 0.000
8.750 0.000 0.000
0.000 0.000 4.776
5.696 0.000 2.381
3.053 0.000 4.778
8.340 0.000 4.778
```

Summary:
The value obtained for the formation energy from raw total energies is -1.898 eV/atom. The value obtained for the density of states at the Fermi level is 2.49 states/eV/cell.

=====

A relaxed SrHgF5 crystal, computed with PBE.

Cell and atoms, written as POSCAR:
```
SrHgF5
1.0
4.353 -3.403 0.000
4.353 3.403 0.000
-2.370 0.000 8.300
Sr Hg F
2 2 10
Cartesian
2.576 3.242 6.225
3.761 -3.242 2.075
4.353 0.000 0.000
3.168 0.000 4.150
3.751 2.161 0.028
1.583 0.777 3.017
3.771 2.161 4.122
2.576 0.789 6.225
0.398 -0.777 7.167
5.938 0.777 1.133
3.761 -0.789 2.075
2.566 -2.161 4.178
4.753 -0.777 5.282
2.586 -2.161 8.272
```

Summary:
The value obtained for the formation energy from raw total energies is -2.280 eV/atom. The value obtained for the density of states at the Fermi level is 4.48 states/eV/cell.

=====

A relaxed SrTl2HgF crystal, computed with PBE.

Cell and atoms, written as POSCAR:
```
SrTl2HgF
1.0
5.170 0.000 0.000
0.000 5.170 0.000
0.000 0.000 5.597
Sr Tl Hg F
1 2 1 1
Cartesian
0.000 0.000 0.000
0.000 2.585 2.799
2.585 0.000 2.799
2.585 2.585 0.000
2.585 2.585 2.799
```

Summary:
The value obtained for the formation energy from raw total energies is -0.735 eV/atom. The value obtained for the density of states at the Fermi level is 2.44 states/eV/cell.

=====

A relaxed Sr2TlHgF8 crystal, computed with PBE.

Cell and atoms, written as POSCAR:
```
Sr2TlHgF8
1.0
4.126 0.000 0.000
0.000 5.747 0.000
0.000 0.000 8.259
Sr Tl Hg F
2 1 1 8
Cartesian
0.000 0.000 2.026
0.000 0.000 6.233
2.063 2.874 4.130
2.063 2.874 0.000
0.000 1.465 0.000
0.000 1.471 4.130
0.000 4.276 4.130
0.000 4.283 0.000
2.063 1.451 2.016
2.063 1.451 6.243
2.063 4.297 2.016
2.063 4.297 6.243
```

Summary:
The value obtained for the formation energy from raw total energies is -2.756 eV/atom. The value obtained for the density of states at the Fermi level is 1.27 states/eV/cell.

=====

A relaxed SrZnHgF6 crystal, computed with PBE.

Cell and atoms, written as POSCAR:
```
SrZnHgF6
1.0
5.772 0.000 0.000
-2.886 4.998 0.000
0.000 0.000 10.259
Sr Zn Hg F
2 2 2 12
Cartesian
0.000 0.000 0.000
0.000 0.000 5.130
0.000 3.332 2.565
2.886 1.666 7.694
0.000 3.332 7.694
2.886 1.666 2.565
-0.854 1.834 1.413
-1.724 3.342 3.717
0.854 1.834 3.717
-0.870 4.820 1.413
2.015 0.178 6.543
1.162 1.656 8.846
1.724 3.342 1.413
0.870 4.820 3.717
3.756 0.178 8.846
2.032 3.164 6.543
4.610 1.656 6.543
3.739 3.164 8.846
```

Summary:
The value obtained for the formation energy from raw total energies is -2.543 eV/atom. The value obtained for the density of states at the Fermi level is 0.00 states/eV/cell.

=====

A relaxed SrZrHg2F crystal, computed with PBE.

Cell and atoms, written as POSCAR:
```
SrZrHg2F
1.0
5.441 0.000 0.000
0.000 5.441 0.000
0.000 0.000 4.405
Sr Zr Hg F
1 1 2 1
Cartesian
0.000 0.000 0.000
2.721 2.721 0.000
0.000 2.721 2.203
2.721 0.000 2.203
0.000 0.000 2.203
```

Summary:
The value obtained for the formation energy from raw total energies is -0.633 eV/atom. The value obtained for the density of states at the Fermi level is 5.10 states/eV/cell.